# 1
PBE-GGA BaMn2Be, optimized geometry; mass density = 5.17 g cm⁻³; calculated total energy = -20.8 eV for the cell shown
1.0
5.7227 0.1720 0.0848
2.0727 5.3369 -0.0848
-3.0143 -4.0046 2.7683
Be Mn Ba
1 2 1
Cartesian
1.4781 2.0434 1.3417 Be
0.4920 0.3477 0.0000 Mn
3.4057 2.4067 0.0000 Mn
3.3031 -0.5391 1.4265 Ba

# 2
PBE-GGA Co4CuNi7, optimized geometry; mass density = 8.96 g cm⁻³; calculated total energy = -72.9 eV for the cell shown
1.0
-1.5077 -0.5398 1.9052
0.9249 -1.8290 -1.4119
19.4303 -1.6766 14.9006
Co Cu Ni
4 1 7
Cartesian
17.9277 -2.9364 13.3547 Co
0.9198 -1.1090 2.0393 Co
13.0918 -2.5191 9.6461 Co
5.7557 -1.5263 5.7478 Co
9.7151 -0.8383 7.4503 Cu
0.0000 0.0000 0.0000 Ni
8.1629 -2.0938 5.8663 Ni
10.6846 -1.9516 9.5276 Ni
3.3330 -1.6770 2.1623 Ni
15.5146 -2.3684 13.2316 Ni
14.5799 -1.2581 11.1809 Ni
4.8504 -0.4185 3.7196 Ni

# 3
PBE-GGA AlMo6W5, optimized geometry; mass density = 13.26 g cm⁻³; calculated total energy = -133.9 eV for the cell shown
1.0
4.2927 0.0181 -1.2527
-0.8715 5.5804 -2.9060
-0.0719 0.4049 7.7410
Mo Al W
6 1 5
Cartesian
3.0170 3.5209 2.4075 Mo
3.4498 0.7483 3.8514 Mo
1.4963 4.1719 -2.7941 Mo
1.9249 1.4266 -1.3646 Mo
-0.1005 5.2551 -0.2691 Mo
0.3323 2.4825 1.1748 Mo
0.0000 0.0000 0.0000 Al
2.6790 1.0505 1.2139 W
1.0903 2.1318 3.7669 W
-0.4357 2.7902 -1.4530 W
2.2590 3.8716 -0.1845 W
0.6703 4.9529 2.3685 W